Record 1
PuCdAsN | PBE | relaxed

Cell lengths 11.1260, 11.1260, 11.1260 Å; angles 21.04, 21.04, 21.04 degrees
Fractional positions:
Pu 0.1260 0.1260 0.1260
Pu 0.8740 0.8740 0.8740
Cd 0.3042 0.3042 0.3042
Cd 0.6958 0.6958 0.6958
As 0.3991 0.3991 0.3991
As 0.6009 0.6009 0.6009
N 0.1916 0.1916 0.1916
N 0.8084 0.8084 0.8084

Calculated values
The calculation puts the uncorrected formation energy at -669 meV per atom. As for the magnetization: 8.00 μB/cell. The crystal system is trigonal.

***

Record 2
CdAsS2N | PBE | relaxed

Cell lengths 5.0828, 5.0828, 4.1238 Å; angles 90.00, 90.00, 90.00 degrees
Fractional positions:
Cd 0.0000 0.0000 0.0000
As 0.5000 0.5000 0.5000
S 0.0000 0.5000 0.0000
S 0.5000 0.0000 0.0000
N 0.0000 0.0000 0.5000

Calculated values
The calculation puts the uncorrected formation energy at 1343 meV per atom. As for the magnetization: 2.01 μB/cell. The value obtained for the energy above the most stable polymorph in this dataset is 0.694 eV per atom. The crystal system is tetragonal.

***

Record 3
CdAsS2N | PBE | relaxed

Cell lengths 4.5398, 4.5398, 4.0852 Å; angles 90.00, 90.00, 90.00 degrees
Fractional positions:
Cd 0.0000 0.0000 0.0000
As 0.5000 0.5000 0.0000
S 0.0000 0.5000 0.5000
S 0.5000 0.0000 0.5000
N 0.5000 0.5000 0.5000

Calculated values
The calculation puts the uncorrected formation energy at 915 meV per atom. As for the magnetization: 0.00 μB/cell. The value obtained for the energy above the most stable polymorph in this dataset is 0.266 eV per atom. The crystal system is tetragonal.

***

Record 4
CdAsS2N | PBE | relaxed

Cell lengths 4.9082, 4.9082, 3.6969 Å; angles 90.00, 90.00, 90.00 degrees
Fractional positions:
Cd 0.0000 0.0000 0.0000
As 0.5000 0.5000 0.5000
S 0.0000 0.5000 0.5000
S 0.5000 0.0000 0.5000
N 0.5000 0.5000 0.0000

Calculated values
The calculation puts the uncorrected formation energy at 649 meV per atom. As for the magnetization: 0.81 μB/cell. The value obtained for the energy above the most stable polymorph in this dataset is 0.000 eV per atom. The crystal system is tetragonal.

***

Record 5
CdTeAsN2 | PBE | relaxed

Cell lengths 4.2806, 4.2806, 6.3817 Å; angles 90.00, 90.00, 90.00 degrees
Fractional positions:
Cd 0.0000 0.0000 0.0000
Te 0.0000 0.0000 0.5000
As 0.5000 0.5000 0.5000
N 0.0000 0.5000 0.0000
N 0.5000 0.0000 0.0000

Calculated values
The calculation puts the uncorrected formation energy at 1750 meV per atom. As for the magnetization: 2.99 μB/cell. The value obtained for the energy above the most stable polymorph in this dataset is 0.540 eV per atom. The crystal system is tetragonal.

***

Record 6
CdTeAsN2 | PBE | relaxed

Cell lengths 3.8945, 3.8945, 6.4906 Å; angles 90.00, 90.00, 90.00 degrees
Fractional positions:
Cd 0.0000 0.0000 0.0000
Te 0.5000 0.5000 0.0000
As 0.5000 0.5000 0.5000
N 0.0000 0.5000 0.5000
N 0.5000 0.0000 0.5000

Calculated values
The calculation puts the uncorrected formation energy at 1210 meV per atom. As for the magnetization: 0.71 μB/cell. The value obtained for the energy above the most stable polymorph in this dataset is 0.000 eV per atom. The crystal system is tetragonal.

***

Record 7
Na3CdAs | PBE | relaxed

Cell lengths 7.3315, 7.3315, 7.3315 Å; angles 103.77, 115.38, 109.47 degrees
Fractional positions:
Na 0.1985 0.0656 0.2641
Na 0.1985 0.4344 0.6329
Na 0.2491 0.5608 0.1882
Na 0.3726 0.0608 0.8118
Na 0.8015 0.5656 0.3671
Na 0.8015 0.9344 0.7359
Cd 0.6490 0.9240 0.2250
Cd 0.6990 0.4240 0.7750
As 0.1098 0.7345 0.8753
As 0.8592 0.2345 0.1247

Calculated values
As for the magnetization: 0.00 μB/cell. The value obtained for the energy above the most stable polymorph in this dataset is 0.000 eV per atom. The crystal system is orthorhombic.

***

Record 8
NaCd2As | PBE | relaxed

Cell lengths 6.5048, 6.5048, 6.5048 Å; angles 101.87, 101.87, 126.05 degrees
Fractional positions:
Na 0.0000 0.0000 0.0000
Na 0.7500 0.2500 0.5000
Cd 0.1813 0.6250 0.0563
Cd 0.3750 0.4313 0.5563
Cd 0.5687 0.1250 0.9437
Cd 0.8750 0.8187 0.4437
As 0.2500 0.7500 0.5000
As 0.5000 0.5000 0.0000

Calculated values
As for the magnetization: 0.00 μB/cell. The crystal system is tetragonal. As for the total DFT energy (no corrections): -1.970 eV/atom.

***

Record 9
NaCd5As4 | PBE | relaxed

Cell lengths 8.1072, 10.5598, 6.1602 Å; angles 90.00, 90.00, 90.00 degrees
Fractional positions:
Na 0.2500 0.2500 0.0102
Na 0.7500 0.7500 0.9898
Cd 0.0097 0.5614 0.2760
Cd 0.0097 0.9386 0.2760
Cd 0.2500 0.7500 0.7915
Cd 0.4903 0.5614 0.2760
Cd 0.4903 0.9386 0.2760
Cd 0.5097 0.0614 0.7240
Cd 0.5097 0.4386 0.7240
Cd 0.7500 0.2500 0.2085
Cd 0.9903 0.0614 0.7240
Cd 0.9903 0.4386 0.7240
As 0.0865 0.2500 0.4585
As 0.2500 0.5291 0.9849
As 0.2500 0.9709 0.9849
As 0.4135 0.2500 0.4585
As 0.5865 0.7500 0.5415
As 0.7500 0.0291 0.0151
As 0.7500 0.4709 0.0151
As 0.9135 0.7500 0.5415

Calculated values
As for the magnetization: 0.00 μB/cell. The crystal system is orthorhombic. As for the total DFT energy (no corrections): -2.522 eV/atom.

***

Record 10
Na3CdAs2 | PBE | relaxed

Cell lengths 8.4644, 8.4644, 8.4644 Å; angles 131.89, 73.10, 128.53 degrees
Fractional positions:
Na 0.0127 0.7500 0.2627
Na 0.2500 0.2500 0.0000
Na 0.4873 0.7500 0.7373
Na 0.5127 0.2500 0.2627
Na 0.7500 0.7500 0.0000
Na 0.9873 0.2500 0.7373
Cd 0.0000 0.5000 0.5000
Cd 0.5000 0.0000 0.5000
As 0.1296 0.2331 0.3627
As 0.3704 0.7331 0.1035
As 0.6296 0.2669 0.8965
As 0.8704 0.7669 0.6373

Calculated values
As for the magnetization: 2.04 μB/cell. The value obtained for the energy above the most stable polymorph in this dataset is 0.066 eV per atom. The crystal system is orthorhombic.

***

Record 11
NaCd2As | PBE | relaxed

Cell lengths 4.4015, 4.4015, 4.5318 Å; angles 90.00, 90.00, 90.00 degrees
Fractional positions:
Na 0.0000 0.0000 0.0000
Cd 0.0000 0.5000 0.5000
Cd 0.5000 0.0000 0.5000
As 0.5000 0.5000 0.0000

Calculated values
As for the magnetization: 0.00 μB/cell. The crystal system is tetragonal. As for the total DFT energy (no corrections): -2.042 eV/atom.

***

Record 12
Na3CdAs | PBE | relaxed

Cell lengths 5.4852, 5.4852, 5.4852 Å; angles 90.00, 90.00, 90.00 degrees
Fractional positions:
Na 0.0000 0.0000 0.5000
Na 0.0000 0.5000 0.0000
Na 0.5000 0.0000 0.0000
Cd 0.0000 0.0000 0.0000
As 0.5000 0.5000 0.5000

Calculated values
As for the magnetization: 0.00 μB/cell. The value obtained for the energy above the most stable polymorph in this dataset is 0.553 eV per atom. The crystal system is cubic.

***

Record 13
NaCdAs3 | PBE | relaxed

Cell lengths 5.0354, 5.0354, 5.0354 Å; angles 90.00, 90.00, 90.00 degrees
Fractional positions:
Na 0.0000 0.0000 0.0000
Cd 0.5000 0.5000 0.5000
As 0.0000 0.0000 0.5000
As 0.0000 0.5000 0.0000
As 0.5000 0.0000 0.0000

Calculated values
As for the magnetization: 0.00 μB/cell. The value obtained for the energy above the most stable polymorph in this dataset is 0.340 eV per atom. The crystal system is cubic.

***

Record 14
Na3CdAs | PBE | relaxed

Cell lengths 5.5921, 5.5921, 5.5921 Å; angles 90.00, 90.00, 90.00 degrees
Fractional positions:
Na 0.0000 0.0000 0.5000
Na 0.0000 0.5000 0.0000
Na 0.5000 0.0000 0.0000
Cd 0.5000 0.5000 0.5000
As 0.0000 0.0000 0.0000

Calculated values
As for the magnetization: 0.00 μB/cell. The value obtained for the energy above the most stable polymorph in this dataset is 0.048 eV per atom. The crystal system is cubic.

***

Record 15
Na3CdAs2 | PBE | relaxed

Cell lengths 8.8231, 8.8231, 8.8231 Å; angles 138.29, 60.15, 138.70 degrees
Fractional positions:
Na 0.1823 0.7475 0.9298
Na 0.2500 0.2500 0.0000
Na 0.3177 0.2475 0.5652
Na 0.6823 0.7525 0.4348
Na 0.7500 0.7500 0.0000
Na 0.8177 0.2525 0.0702
Cd 0.2500 0.7500 0.5000
Cd 0.7500 0.2500 0.5000
As 0.1202 0.2731 0.3934
As 0.3798 0.7731 0.1529
As 0.6202 0.2269 0.8471
As 0.8798 0.7269 0.6066

Calculated values
As for the magnetization: 0.00 μB/cell. The value obtained for the energy above the most stable polymorph in this dataset is 0.000 eV per atom. The crystal system is orthorhombic.

***

Record 16
Na3Cd4As4 | PBE | relaxed

Cell lengths 8.7619, 8.7619, 8.7619 Å; angles 148.05, 131.24, 59.49 degrees
Fractional positions:
Na 0.0000 0.0000 0.0000
Na 0.3948 0.8948 0.5000
Na 0.6052 0.1052 0.5000
Cd 0.0378 0.3311 0.7067
Cd 0.3755 0.6689 0.7067
Cd 0.6245 0.3311 0.2933
Cd 0.9622 0.6689 0.2933
As 0.2154 0.2154 0.0000
As 0.3206 0.5000 0.8206
As 0.6794 0.5000 0.1794
As 0.7846 0.7846 0.0000

Calculated values
As for the magnetization: 0.00 μB/cell. The crystal system is orthorhombic. As for the total DFT energy (no corrections): -2.625 eV/atom.

***

Record 17
NaCdAs3 | PBE | relaxed

Cell lengths 5.2469, 5.2469, 5.2469 Å; angles 90.00, 90.00, 90.00 degrees
Fractional positions:
Na 0.0000 0.0000 0.0000
Cd 0.5000 0.5000 0.5000
As 0.0000 0.5000 0.5000
As 0.5000 0.0000 0.5000
As 0.5000 0.5000 0.0000

Calculated values
As for the magnetization: 0.00 μB/cell. The value obtained for the energy above the most stable polymorph in this dataset is 0.000 eV per atom. The crystal system is cubic.

***

Record 18
Na2CdAsO4 | PBE | relaxed

Cell lengths 6.0490, 6.0490, 6.0490 Å; angles 129.30, 129.30, 74.53 degrees
Fractional positions:
Na 0.0000 0.0000 0.0000
Na 0.7500 0.2500 0.5000
Cd 0.5000 0.5000 0.0000
As 0.2500 0.7500 0.5000
O 0.1571 0.6558 0.1040
O 0.3442 0.4482 0.5013
O 0.5518 0.0531 0.8960
O 0.9469 0.8429 0.4987

Calculated values
The calculation puts the uncorrected formation energy at -1361 meV per atom. As for the magnetization: 0.00 μB/cell. The crystal system is tetragonal.

***

Record 19
Na2Cd2AsO6 | PBE | relaxed

Cell lengths 5.5250, 5.5250, 5.8856 Å; angles 100.07, 100.07, 117.12 degrees
Fractional positions:
Na 0.1653 0.8347 0.0000
Na 0.8347 0.1653 0.0000
Cd 0.3373 0.6627 0.5000
Cd 0.6627 0.3373 0.5000
As 0.0000 0.0000 0.5000
O 0.0540 0.3374 0.7011
O 0.2078 0.2078 0.3099
O 0.3374 0.0540 0.7011
O 0.6626 0.9460 0.2989
O 0.7922 0.7922 0.6901
O 0.9460 0.6626 0.2989

Calculated values
The calculation puts the uncorrected formation energy at -1219 meV per atom. As for the magnetization: 1.08 μB/cell. The crystal system is monoclinic.

***

Record 20
Na2CdAs2O6 | PBE | relaxed

Cell lengths 5.8461, 5.8461, 6.5903 Å; angles 118.37, 118.37, 60.98 degrees
Fractional positions:
Na 0.2097 0.2097 0.1567
Na 0.7903 0.7903 0.8433
Cd 0.0000 0.0000 0.5000
As 0.4676 0.4676 0.7905
As 0.5324 0.5324 0.2095
O 0.1930 0.6669 0.2046
O 0.2696 0.2696 0.5717
O 0.3331 0.8070 0.7954
O 0.6669 0.1930 0.2046
O 0.7304 0.7304 0.4283
O 0.8070 0.3331 0.7954

Calculated values
The calculation puts the uncorrected formation energy at -1360 meV per atom. As for the magnetization: 0.00 μB/cell. The crystal system is monoclinic.

***

no.,D(E_F) (states/eV/atom)
1,1.3565
2,0.7764
3,0.7782
4,0.5198
5,0.4978
6,0.3697
7,0.1175
8,0.3154
9,0.2324
10,0.7105
11,0.2324
12,0.1402
13,0.4150
14,0.0000
15,0.5286
16,0.2637
17,0.7612
18,0.1431
19,0.3275
20,0.0000